Entry from the Alexandria database: a relaxed LiGa2Se2 crystal (GGA-PBE).

Lattice parameters (Å, degrees): 5.119 5.119 8.331 90.00 90.00 90.00
Sites, in units of the cell vectors:
Li1 0.000 0.000 0.000
Li2 0.500 0.500 0.500
Ga1 0.000 0.000 0.347
Ga2 0.000 0.000 0.653
Ga3 0.500 0.500 0.153
Ga4 0.500 0.500 0.847
Se1 0.000 0.500 0.250
Se2 0.000 0.500 0.750
Se3 0.500 0.000 0.250
Se4 0.500 0.000 0.750

Summary:
Excess energy over the best structure of this formula in the dataset: 0.0 meV/atom
Fermi-level density of states: 1.7 states/eV/cell
Formation energy without anion corrections: -0.463 eV/atom
Raw total energy: -3.45 eV per atom
Total moment: 0.0 μB per cell
Space group: I4/mmm, No. 139